[1]
VASP calculation (PBE-GGA) on crystalline PIr2O at its relaxed geometry.

abc: 5.9507 5.9507 5.9507
angles: 128.32 128.32 76.11
Element x y z (fractional)
P1 0.0000 0.0000 0.0000
P2 0.7500 0.2500 0.5000
Ir1 0.1392 0.6250 0.0142
Ir2 0.3750 0.3892 0.5142
Ir3 0.6108 0.1250 0.9858
Ir4 0.8750 0.8608 0.4858
O1 0.2500 0.7500 0.5000
O2 0.5000 0.5000 0.0000

The calculated total energy is -6.9855 eV/atom. The calculation puts the offset from the most stable computed form at 0 meV/atom. The uncorrected formation energy is 0.0370 eV/atom. The value obtained for the total magnetic moment is 0.00 μB/cell.

=====

[2]
VASP calculation (PBE-GGA) on crystalline Cu8Pd6Rh at its relaxed geometry.

abc: 6.2487 6.2487 6.2487
angles: 71.12 71.12 71.12
Element x y z (fractional)
Cu1 0.0514 0.3948 0.8573
Cu2 0.1427 0.9486 0.6052
Cu3 0.2384 0.2384 0.2384
Cu4 0.3948 0.8573 0.0514
Cu5 0.6052 0.1427 0.9486
Cu6 0.7616 0.7616 0.7616
Cu7 0.8573 0.0514 0.3948
Cu8 0.9486 0.6052 0.1427
Pd1 0.1710 0.6246 0.4230
Pd2 0.3754 0.5770 0.8290
Pd3 0.4230 0.1710 0.6246
Pd4 0.5770 0.8290 0.3754
Pd5 0.6246 0.4230 0.1710
Pd6 0.8290 0.3754 0.5770
Rh1 0.0000 0.0000 0.0000

As for the formation energy: 96 meV/atom. The calculated total energy is -4.6561 eV/atom. The value obtained for the total magnetic moment is 0.00 μB/cell.